Below is Tl2NiH12Se2O14 after structural relaxation, with properties calculated at the GGA+U level.

a = 6.445 Å, b = 12.679 Å, c = 9.330 Å
α = 90.00°, β = 104.45°, γ = 90.00°
Positions (direct):
Tl 0.156 0.155 0.363
Tl 0.156 0.345 0.863
Tl 0.844 0.655 0.137
Tl 0.844 0.845 0.637
Ni 0.500 0.000 0.000
Ni 0.500 0.500 0.500
H 0.170 0.556 0.602
H 0.170 0.944 0.102
H 0.177 0.637 0.475
H 0.177 0.863 0.975
H 0.186 0.086 0.793
H 0.186 0.414 0.293
H 0.406 0.123 0.758
H 0.406 0.377 0.258
H 0.426 0.597 0.235
H 0.426 0.903 0.735
H 0.499 0.185 0.142
H 0.499 0.315 0.642
H 0.501 0.685 0.358
H 0.501 0.815 0.858
H 0.574 0.097 0.265
H 0.574 0.403 0.765
H 0.594 0.623 0.742
H 0.594 0.877 0.242
H 0.814 0.586 0.707
H 0.814 0.914 0.207
H 0.823 0.137 0.025
H 0.823 0.363 0.525
H 0.830 0.056 0.898
H 0.830 0.444 0.398
Se 0.230 0.638 0.907
Se 0.230 0.862 0.407
Se 0.770 0.138 0.593
Se 0.770 0.362 0.093
O 0.073 0.744 0.912
O 0.073 0.756 0.412
O 0.099 0.559 0.769
O 0.099 0.941 0.269
O 0.212 0.563 0.508
O 0.212 0.937 0.008
O 0.266 0.571 0.065
O 0.266 0.929 0.565
O 0.336 0.107 0.839
O 0.336 0.393 0.339
O 0.465 0.678 0.878
O 0.465 0.822 0.378
O 0.474 0.110 0.166
O 0.474 0.390 0.666
O 0.526 0.610 0.334
O 0.526 0.890 0.834
O 0.535 0.178 0.622
O 0.535 0.322 0.122
O 0.664 0.607 0.661
O 0.664 0.893 0.161
O 0.734 0.071 0.435
O 0.734 0.429 0.935
O 0.788 0.063 0.992
O 0.788 0.437 0.492
O 0.901 0.059 0.731
O 0.901 0.441 0.231
O 0.927 0.244 0.588
O 0.927 0.256 0.088

## Properties
Final energy in eV per formula unit: -154.350
DOS at the Fermi energy in states/eV/f.u.: 0.0